The following is a meta-GGA SCAN calculation of BaCaCrF7 at its PBEsol-relaxed geometry, from Alexandria.

- Formation energy from raw total energies: -3800 meV per atom
- Final energy: -130.37 eV per formula unit

Cell: 5.3873 5.4115 19.5167 Å, 90.00 103.88 90.00°
Space group P2/c (No. 13)
Inequivalent atoms, fractional coordinates:
Ba  0.1813  0.2406  0.4317
Ca  0.0000  0.3259  0.7500
Ca  0.5000  0.2060  0.2500
Cr  0.3153  0.2235  0.6191
F  0.0064  0.2848  0.9443
F  0.1476  0.0233  0.6772
F  0.2350  0.3695  0.3091
F  0.2486  0.4980  0.6744
F  0.3423  0.0563  0.0625
F  0.3735  0.1303  0.8156
F  0.4684  0.4088  0.5601